(1)
A plane-wave DFT calculation with PBE was carried out for crystalline Sr6Rh5O15 at its relaxed geometry.

Cell lengths 7.179, 7.179, 7.179 Å; angles 85.66, 85.66, 85.66 degrees
Last column: magnetic moment on the atom in μB.
Fractional positions:
Sr  0.317  0.683  0.000  0.00
Sr  0.683  0.000  0.317  0.00
Sr  0.000  0.317  0.683  0.00
Sr  0.146  0.854  0.500  0.00
Sr  0.854  0.500  0.146  0.00
Sr  0.500  0.146  0.854  0.00
Rh  0.903  0.903  0.903  0.11
Rh  0.097  0.097  0.097  0.11
Rh  0.707  0.707  0.707  0.20
Rh  0.293  0.293  0.293  0.20
Rh  0.500  0.500  0.500  0.55
O  0.270  0.567  0.346  0.07
O  0.346  0.270  0.567  0.07
O  0.567  0.346  0.270  0.07
O  0.730  0.654  0.433  0.07
O  0.433  0.730  0.654  0.07
O  0.654  0.433  0.730  0.07
O  0.000  0.835  0.165  0.01
O  0.165  0.000  0.835  0.01
O  0.835  0.165  0.000  0.01
O  0.348  0.019  0.212  0.01
O  0.212  0.348  0.019  0.01
O  0.788  0.981  0.652  0.01
O  0.981  0.652  0.788  0.01
O  0.652  0.788  0.981  0.01
O  0.019  0.212  0.348  0.01

Electronic total energy = -6.4183 eV/atom
Spin magnetization = 0.069 μB/atom
Crystal system = trigonal


(2)
A plane-wave DFT calculation with PBE was carried out for crystalline Ac2NdCdPd6 at its relaxed geometry.

Cell lengths 7.231, 7.231, 7.231 Å; angles 60.00, 60.00, 90.00 degrees
Fractional positions:
Ac  0.250  0.750  0.500
Ac  0.750  0.250  0.500
Nd  0.500  0.500  0.000
Cd  0.000  0.000  0.000
Pd  0.246  0.754  0.000
Pd  0.754  0.754  0.000
Pd  0.246  0.246  0.507
Pd  0.754  0.246  0.000
Pd  0.246  0.246  0.000
Pd  0.754  0.754  0.493

Electronic total energy = -4.6307 eV/atom
Spin magnetization = 0.000 μB/atom
Calculated formation energy = -0.125 eV per atom
Crystal system = cubic


(3)
A plane-wave DFT calculation with PBE was carried out for crystalline MgTc2Se at its relaxed geometry.

Cell lengths 3.229, 4.271, 4.639 Å; angles 90.00, 90.00, 90.00 degrees
Fractional positions:
Mg  0.500  0.000  0.500
Se  0.000  0.500  0.500
Tc  0.000  0.000  0.000
Tc  0.500  0.500  0.000

Electronic total energy = -6.1445 eV/atom
Spin magnetization = 0.000 μB/atom
E above lowest polymorph = 1.23 eV/f.u.
Crystal system = orthorhombic


(4)
A plane-wave DFT calculation with PBE was carried out for crystalline Tc2MoIr at its relaxed geometry.

Cell lengths 4.785, 4.785, 4.802 Å; angles 80.51, 80.51, 33.30 degrees
Fractional positions:
Ir  0.503  0.503  0.498
Mo  0.751  0.751  0.746
Tc  0.000  0.000  0.011
Tc  0.246  0.246  0.245

Electronic total energy = -10.1587 eV/atom
Spin magnetization = 0.000 μB/atom
Calculated formation energy = -0.053 eV per atom
E above lowest polymorph = 0.36 eV/f.u.
Crystal system = monoclinic


(5)
A plane-wave DFT calculation with PBE was carried out for crystalline KCaCo2 at its relaxed geometry.

Cell lengths 5.114, 5.114, 5.114 Å; angles 60.00, 60.00, 60.00 degrees
Last column: magnetic moment on the atom in μB.
Fractional positions:
Ca  0.500  0.500  0.500  -0.10
Co  0.250  0.250  0.250  1.75
Co  0.750  0.750  0.750  1.75
K  0.000  0.000  0.000  -0.02

Electronic total energy = -3.2315 eV/atom
Spin magnetization = 0.765 μB/atom
Calculated formation energy = 1.096 eV per atom
E above lowest polymorph = 3.09 eV/f.u.
Crystal system = cubic


(6)
A plane-wave DFT calculation with PBE was carried out for crystalline LiCoAuBr2 at its relaxed geometry.

Cell lengths 4.736, 5.358, 4.736 Å; angles 90.00, 90.00, 90.00 degrees
Last column: magnetic moment on the atom in μB.
Fractional positions:
Co  0.000  0.000  0.000  1.54
Au  0.500  0.500  0.500  0.01
Br  0.000  0.000  0.500  0.07
Br  0.500  0.000  0.000  0.09
Li  0.000  0.500  0.000  -0.01

Electronic total energy = -2.8828 eV/atom
Spin magnetization = 0.343 μB/atom
Crystal system = tetragonal


(7)
A plane-wave DFT calculation with PBE was carried out for crystalline Rb2LiTe at its relaxed geometry.

Cell lengths 5.185, 10.503, 9.875 Å; angles 105.36, 105.22, 90.00 degrees
Fractional positions:
Rb  0.140  0.569  0.279
Rb  0.860  0.431  0.721
Rb  0.138  0.069  0.279
Rb  0.862  0.931  0.721
Li  0.482  0.750  0.000
Li  0.518  0.250  0.000
Te  0.018  0.250  0.000
Te  0.982  0.750  0.000

Electronic total energy = -2.3712 eV/atom
Spin magnetization = 0.000 μB/atom
Crystal system = monoclinic


(8)
A plane-wave DFT calculation with PBE was carried out for crystalline La6Tb3Nd2Mg at its relaxed geometry.

Cell lengths 6.336, 6.336, 12.004 Å; angles 95.06, 95.06, 120.04 degrees
Fractional positions:
La  0.917  0.586  0.749
La  0.753  0.753  0.252
La  0.083  0.414  0.251
La  0.586  0.917  0.749
La  0.247  0.247  0.748
La  0.414  0.083  0.251
Tb  0.167  0.833  0.500
Tb  0.833  0.167  0.500
Tb  0.500  0.500  0.500
Nd  0.333  0.667  0.000
Nd  0.667  0.333  0.000
Mg  0.000  0.000  0.000

Electronic total energy = -4.5400 eV/atom
Spin magnetization = 0.000 μB/atom
Calculated formation energy = 0.009 eV per atom
Crystal system = monoclinic


(9)
A plane-wave DFT calculation with PBE was carried out for crystalline RbAuF5 at its relaxed geometry.

Cell lengths 5.955, 5.955, 8.702 Å; angles 96.12, 109.25, 111.25 degrees
Fractional positions:
Rb  0.745  0.495  0.250
Rb  0.255  0.505  0.750
Au  0.000  0.000  0.000
Au  0.500  0.000  0.500
F  0.763  0.038  0.102
F  0.181  0.851  0.544
F  0.564  0.339  0.602
F  0.263  0.013  0.250
F  0.807  0.638  0.956
F  0.193  0.362  0.044
F  0.737  0.987  0.750
F  0.436  0.661  0.398
F  0.819  0.149  0.456
F  0.237  0.962  0.898

Electronic total energy = -3.5378 eV/atom
Spin magnetization = 0.000 μB/atom
Crystal system = monoclinic


(10)
A plane-wave DFT calculation with PBE was carried out for crystalline LaGePt2 at its relaxed geometry.

Cell lengths 4.333, 4.333, 5.807 Å; angles 68.10, 68.10, 60.00 degrees
Fractional positions:
Ge  0.500  0.500  0.500
Pt  0.789  0.789  0.632
Pt  0.211  0.211  0.368
La  0.000  0.000  0.000

Electronic total energy = -6.3190 eV/atom
Spin magnetization = 0.000 μB/atom
Calculated formation energy = -0.912 eV per atom
Crystal system = trigonal


(11)
A plane-wave DFT calculation with PBE was carried out for crystalline Tl2IN2 at its relaxed geometry.

Cell lengths 4.077, 4.064, 12.850 Å; angles 78.92, 80.87, 59.89 degrees
Fractional positions:
Tl  0.283  0.240  0.194
Tl  0.717  0.760  0.806
I  0.000  0.000  0.000
N  0.532  0.399  0.538
N  0.468  0.601  0.462

Electronic total energy = -4.6833 eV/atom
Spin magnetization = 0.000 μB/atom
Crystal system = monoclinic


(12)
A plane-wave DFT calculation with PBE was carried out for crystalline IrPb2W at its relaxed geometry.

Cell lengths 4.905, 4.905, 4.905 Å; angles 60.00, 60.00, 60.00 degrees
Last column: magnetic moment on the atom in μB.
Fractional positions:
Ir  0.500  0.500  0.500  0.37
Pb  0.000  0.000  0.000  0.04
Pb  0.250  0.250  0.250  0.02
W  0.750  0.750  0.750  1.35

Electronic total energy = -6.2479 eV/atom
Spin magnetization = 0.544 μB/atom
Calculated formation energy = 1.060 eV per atom
E above lowest polymorph = 3.10 eV/f.u.
Crystal system = cubic